Compound: TiPb3N
Source: Alexandria
Functional: PBE-GGA
Structure: optimized geometry

Cell and atoms, written as extended XYZ:
```
5
Lattice="-2.146 2.311 -4.424 -4.143 -3.511 0.176 -2.784 3.443 3.149" Properties=species:S:1:pos:R:3 pbc="T T T"
Ti 0.000 0.000 0.000
Pb -1.392 1.721 1.575
N -4.536 1.122 -0.549
Pb -2.071 -1.755 0.088
Pb -1.073 1.156 -2.212
```

Computed properties:
Formation energy without anion corrections: 1.209 eV per atom
Symmetry: Pm-3m (221)
Density of states at the Fermi level: 0.629 states/eV per atom
Mass density: 7.08 g cm⁻³
VASP energy: -4.260 eV/atom
Volume: 32.1 A^3/atom
Excess energy over the best structure of this formula in the dataset: 387 meV per atom